This record from the Alexandria database describes a relaxed Na2PuFe2O6 crystal. The functional is GGA+U.

Cell and atoms, written as POSCAR:
```
Na2PuFe2O6
1.0
-3.919 3.544 -1.679
2.534 -3.368 -3.602
-3.446 -3.947 2.623
O Na Fe Pu
6 2 2 1
Direct
0.233 0.233 0.295 O
0.767 0.767 0.705 O
0.598 0.926 0.301 O
0.926 0.598 0.301 O
0.402 0.074 0.699 O
0.074 0.402 0.699 O
0.179 0.821 0.000 Na
0.821 0.179 0.000 Na
0.330 0.670 0.500 Fe
0.670 0.330 0.500 Fe
0.000 0.000 0.500 Pu
```

Properties
Its crystal system is monoclinic. The electronic total energy is -7.18 eV per atom. As for the total magnetic moment: 10.0 μB per formula unit. As for the symmetry: C2/m, No. 12.